DFT (PBE with a Hubbard U) results for a geometry-optimized Ba3Fe3O8 structure.

Computed properties:
final energy	-6.39	eV per atom
D(E_F)	0.26	states/eV/atom

The structure in CIF format:
```
data_Ba3Fe3O8
_chemical_formula_sum 'Ba12 Fe12 O32'
_cell_length_a 14.1700
_cell_length_b 5.7720
_cell_length_c 10.1850
_cell_angle_alpha 90.00
_cell_angle_beta 90.00
_cell_angle_gamma 90.00
_symmetry_space_group_name_H-M 'A m m 2'
_symmetry_Int_Tables_number 38
loop_
_symmetry_equiv_pos_as_xyz
'x,y,z'
'-x,-y,z'
'-x,y,z'
'x,-y,z'
'x,y+1/2,z+1/2'
'-x,-y+1/2,z+1/2'
'-x,y+1/2,z+1/2'
'x,-y+1/2,z+1/2'
loop_
_atom_site_label
_atom_site_type_symbol
_atom_site_fract_x
_atom_site_fract_y
_atom_site_fract_z
_atom_site_occupancy
Ba1 Ba 0.0000 0.0000 0.0000 1
Ba2 Ba 0.1475 0.0000 0.6670 1
Ba3 Ba 0.3393 0.0000 0.3239 1
Ba4 Ba 0.5000 0.0000 0.0018 1
Fe1 Fe 0.0941 0.0000 0.3374 1
Fe2 Fe 0.2391 0.0000 0.0161 1
Fe3 Fe 0.4104 0.0000 0.6357 1
O1 O 0.0000 0.0000 0.4908 1
O2 O 0.0000 0.2315 0.2667 1
O3 O 0.1647 0.0000 0.1686 1
O4 O 0.1801 0.2410 0.9094 1
O5 O 0.3323 0.2438 0.0800 1
O6 O 0.5000 0.0000 0.4883 1
O7 O 0.5000 0.2176 0.7315 1
```